(1)
The following is a PBE calculation of AcAgPb after structural relaxation, from the Alexandria database.

Summary:
The crystal system is cubic.

Cell and atoms, written as CIF:
```
data_AcAgPb
_chemical_formula_sum 'Ac4 Ag4 Pb4'
_cell_length_a 7.281
_cell_length_b 7.281
_cell_length_c 7.281
_cell_angle_alpha 90.00
_cell_angle_beta 90.00
_cell_angle_gamma 90.00
_space_group_name_H-M_alt 'F -4 3 m'
_space_group_IT_number 216
_space_group_name_Hall 'F -4 2 3'
loop_
_atom_site_label
_atom_site_type_symbol
_atom_site_fract_x
_atom_site_fract_y
_atom_site_fract_z
Ac1 Ac 0.000 0.000 0.000
Ag1 Ag 0.250 0.250 0.250
Pb1 Pb 0.000 0.000 0.500
```

---

(2)
The following is a PBE calculation of Ac6AgPb5 after structural relaxation, from the Alexandria database.

Summary:
The crystal system is triclinic.

Cell and atoms, written as CIF:
```
data_Ac6AgPb5
_chemical_formula_sum 'Ac6 Ag1 Pb5'
_cell_length_a 6.002
_cell_length_b 7.824
_cell_length_c 9.958
_cell_angle_alpha 66.97
_cell_angle_beta 78.73
_cell_angle_gamma 89.97
_space_group_name_H-M_alt 'P -1'
_space_group_IT_number 2
_space_group_name_Hall '-P 1'
loop_
_atom_site_label
_atom_site_type_symbol
_atom_site_fract_x
_atom_site_fract_y
_atom_site_fract_z
Ac1 Ac 0.001 0.250 0.499
Ac2 Ac 0.336 0.086 0.831
Ac3 Ac 0.337 0.586 0.831
Ag1 Ag 0.500 0.000 0.500
Pb1 Pb 0.164 0.668 0.165
Pb2 Pb 0.165 0.162 0.172
Pb3 Pb 0.500 0.500 0.500
```

---

no.,E (eV/atom)
1,-3.97
2,-4.28